Crystalline PmSmTh at its relaxed geometry, computed with PBE.

```
PmSmTh
1.0
4.6039 0.8590 1.0559
0.0680 4.6828 1.0559
0.0680 0.0807 4.7997
Th Sm Pm
1 1 1
Cartesian
2.1030 2.4945 3.0664
3.6897 4.3767 5.3801
0.5124 0.6078 0.7472
```

Properties
Calculated formation energy in eV/atom: 0.451
Symmetry: R3m (160)
Polymorph energy (0 for the lowest one) in eV/atom: 0.428
Total magnetic moment in μB/f.u.: 0.00
Calculated total energy in eV per atom: -5.18